Record 1
FePt2Rh, relaxed, DFT PBEsol; DFT total energy = -7.866 eV per atom; total magnetization = 3.48 μB per formula unit; DFT formation energy = -0.109 eV/atom
1.0
3.8235 0.0000 0.0000
0.0000 3.8235 0.0000
-1.9118 -1.9118 3.7869
Rh Fe Pt
1 1 2
direct
0.0000 0.0000 0.0000 Rh
0.2500 0.7500 0.5000 Fe
0.5000 0.5000 0.0000 Pt
0.7500 0.2500 0.5000 Pt

***

Record 2
Li3Mn3OF7, relaxed, DFT PBEsol; DFT total energy = -6.184 eV per atom; total magnetization = 15.00 μB per formula unit; energy relative to the elements, uncorrected = -2.3326 eV/atom
1.0
6.0501 -0.0054 -0.0039
2.8744 5.3237 -0.0039
2.8744 1.7129 5.0406
Li Mn O F
3 3 1 7
direct
0.9994 0.9994 0.9994 Li
0.2575 0.2575 0.2575 Li
0.6225 0.6225 0.6225 Li
0.6138 0.6138 0.1331 Mn
0.1331 0.6138 0.6138 Mn
0.6138 0.1331 0.6138 Mn
0.3865 0.3865 0.3865 O
0.8652 0.8652 0.8652 F
0.3858 0.8639 0.3858 F
0.3858 0.3858 0.8639 F
0.8639 0.3858 0.3858 F
0.3896 0.8657 0.8657 F
0.8657 0.8657 0.3896 F
0.8657 0.3896 0.8657 F

***

Record 3
Os2PdF, relaxed, DFT PBEsol; DFT total energy = -7.270 eV per atom; total magnetization = 0.00 μB per formula unit; energy relative to the elements, uncorrected = 0.8099 eV/atom
1.0
-2.2160 3.1853 1.6244
-1.5532 -0.2910 3.8985
1.6327 2.3355 3.0944
Os Pd F
2 1 1
direct
0.2500 0.2500 0.2500 Os
0.7500 0.7500 0.7500 Os
0.5000 0.5000 0.5000 Pd
0.0000 0.0000 0.0000 F

***

DFT total energy of number 1 (FePt2Rh)? -7.866 eV per atom